*P*
A geometry-optimized ZnAg2Cl structure, computed with PBE-GGA.

The structure belongs to space group Immm (No. 71); the cell edges are 3.0454, 5.7572 and 8.9910 Å and the angles 90.00°, 90.00° and 90.00°. The asymmetric unit holds Zn at (0.0000, 0.0000, 0.0000), Ag at (0.0000, 0.5000, 0.2554) and Cl at (0.0000, 0.0000, 0.5000).



*Q*
A geometry-optimized ZnAg2Cl structure, computed with PBE-GGA.

The structure belongs to space group Cm (No. 8); the cell edges are 12.9971, 3.0516 and 4.6602 Å and the angles 90.00°, 92.03° and 90.00°. The asymmetric unit holds Zn at (0.0000, 0.0000, 0.0000), Ag at (0.0437, 0.5000, 0.5092), Ag at (0.1684, 0.5000, 0.0251) and Cl at (0.3446, 0.0000, 0.9998).



*R*
A geometry-optimized ZnAg2Cl structure, computed with PBE-GGA.

The structure belongs to space group P2/m (No. 10); the cell edges are 3.3839, 3.4747 and 6.8792 Å and the angles 90.00°, 90.11° and 90.00°. The asymmetric unit holds Zn at (0.0000, 0.0000, 0.0000), Ag at (0.4992, 0.5000, 0.8000) and Cl at (0.5000, 0.0000, 0.5000).



*S*
A geometry-optimized ZnAg2Cl structure, computed with PBE-GGA.

The structure belongs to space group I-42d (No. 122); the cell edges are 4.4771, 4.4771 and 17.6622 Å and the angles 90.00°, 90.00° and 90.00°. The asymmetric unit holds Zn at (0.0000, 0.0000, 0.0000), Ag at (0.1969, 0.2500, 0.1250) and Cl at (0.0000, 0.0000, 0.5000).



Most stable: *R*. Least stable: *S*.



*P*
A geometry-optimized ZnAgCl structure, computed with PBE-GGA.

The structure belongs to space group Amm2 (No. 38); the cell edges are 6.6418, 3.3741 and 11.7466 Å and the angles 90.00°, 90.00° and 90.00°. The asymmetric unit holds Zn at (0.2425, 0.0000, 0.0000), Ag at (0.0000, 0.0000, 0.3833), Ag at (0.5000, 0.0000, 0.8362) and Cl at (0.2522, 0.0000, 0.1944).



*Q*
A geometry-optimized ZnAgCl structure, computed with PBE-GGA.

The structure belongs to space group F-43m (No. 216); the cell edges are 6.5886, 6.5886 and 6.5886 Å and the angles 90.00°, 90.00° and 90.00°. The asymmetric unit holds Zn at (0.0000, 0.0000, 0.0000), Ag at (0.2500, 0.2500, 0.7500) and Cl at (0.0000, 0.0000, 0.5000).



*R*
A geometry-optimized ZnAgCl structure, computed with PBE-GGA.

The structure belongs to space group F-43m (No. 216); the cell edges are 6.4886, 6.4886 and 6.4886 Å and the angles 90.00°, 90.00° and 90.00°. The asymmetric unit holds Zn at (0.0000, 0.0000, 0.0000), Ag at (0.2500, 0.2500, 0.7500) and Cl at (0.2500, 0.2500, 0.2500).



*S*
A geometry-optimized ZnAgCl structure, computed with PBE-GGA.

The structure belongs to space group I4mm (No. 107); the cell edges are 3.1707, 3.1707 and 11.5436 Å and the angles 90.00°, 90.00° and 90.00°. The asymmetric unit holds Zn at (0.0000, 0.0000, 0.0000), Ag at (0.0000, 0.0000, 0.6406) and Cl at (0.0000, 0.0000, 0.3579).



Most stable: *P*. Least stable: *R*.



*P*
A geometry-optimized ZrAgCl4 structure, computed with PBE-GGA.

The structure belongs to space group F-43m (No. 216); the cell edges are 8.0390, 8.0390 and 8.0390 Å and the angles 90.00°, 90.00° and 90.00°. The asymmetric unit holds Zr at (0.0000, 0.0000, 0.0000), Ag at (0.2500, 0.2500, 0.7500) and Cl at (0.1250, 0.1250, 0.3750).



*Q*
A geometry-optimized ZrAgCl4 structure, computed with PBE-GGA.

The structure belongs to space group I-4 (No. 82); the cell edges are 5.7732, 5.7732 and 12.4723 Å and the angles 90.00°, 90.00° and 90.00°. The asymmetric unit holds Zr at (0.0000, 0.0000, 0.0000), Ag at (0.0000, 0.5000, 0.7500) and Cl at (0.2296, 0.2372, 0.1207).



Most stable: *Q*. Least stable: *P*.



*P*
A geometry-optimized Zr3AgCl structure, computed with PBE-GGA.

The structure belongs to space group Pm-3m (No. 221); the cell edges are 4.7894, 4.7894 and 4.7894 Å and the angles 90.00°, 90.00° and 90.00°. The asymmetric unit holds Zr at (0.0000, 0.0000, 0.5000), Ag at (0.5000, 0.5000, 0.5000) and Cl at (0.0000, 0.0000, 0.0000).



*Q*
A geometry-optimized Zr3AgCl structure, computed with PBE-GGA.

The structure belongs to space group Pm-3m (No. 221); the cell edges are 5.2366, 5.2366 and 5.2366 Å and the angles 90.00°, 90.00° and 90.00°. The asymmetric unit holds Zr at (0.0000, 0.0000, 0.5000), Ag at (0.0000, 0.0000, 0.0000) and Cl at (0.5000, 0.5000, 0.5000).



Most stable: *P*. Least stable: *Q*.



*P*
A geometry-optimized ZrAgCl6 structure, computed with PBE-GGA.

The structure belongs to space group P-1 (No. 2); the cell edges are 6.2032, 6.7592 and 6.7900 Å and the angles 116.33°, 90.09° and 116.51°. The asymmetric unit holds Zr at (0.0000, 0.0000, 0.0000), Ag at (0.5000, 0.0000, 0.5000), Cl at (0.0472, 0.4210, 0.2139), Cl at (0.2576, 0.1615, 0.7611) and Cl at (0.4001, 0.1628, 0.2659).



*Q*
A geometry-optimized ZrAgCl6 structure, computed with PBE-GGA.

The structure belongs to space group C2/m (No. 12); the cell edges are 6.6541, 12.0416 and 6.6685 Å and the angles 90.00°, 113.86° and 90.00°. The asymmetric unit holds Zr at (0.0000, 0.0000, 0.0000), Ag at (0.0000, 0.5000, 0.5000), Cl at (0.2160, 0.0000, 0.7833) and Cl at (0.2455, 0.3545, 0.7466).



Most stable: *Q*. Least stable: *P*.



*P*
A geometry-optimized Zr2Ag2Cl structure, computed with PBE-GGA.

The structure belongs to space group P4/mbm (No. 127); the cell edges are 6.7580, 6.7580 and 4.6571 Å and the angles 90.00°, 90.00° and 90.00°. The asymmetric unit holds Zr at (0.1599, 0.3401, 0.0000), Ag at (0.1444, 0.6444, 0.5000) and Cl at (0.0000, 0.0000, 0.0000).



*Q*
A geometry-optimized Zr2Ag2Cl structure, computed with PBE-GGA.

The structure belongs to space group I4/mmm (No. 139); the cell edges are 3.6722, 3.6722 and 15.7192 Å and the angles 90.00°, 90.00° and 90.00°. The asymmetric unit holds Zr at (0.0000, 0.0000, 0.0992), Ag at (0.0000, 0.5000, 0.2500) and Cl at (0.0000, 0.0000, 0.5000).



Most stable: *P*. Least stable: *Q*.